# 1
Density functional theory data (PBE) for crystalline CaPm4Pr8 at its relaxed geometry.

Properties
DOS at the Fermi energy (states/eV per atom): 1.507
Volume (Å³/f.u.): 468.2
E_form (eV/atom): 0.027
Crystal system: monoclinic
Magnetic moment (μB per formula unit): 0.00

Cell: 6.4174 6.4174 15.2488 Å, 93.89 93.89 48.38°
Positions (direct):
Ca (0.0000, 0.0000, 0.0000)
Pm (0.1527, 0.1527, 0.5377)
Pm (0.3797, 0.3797, 0.8414)
Pm (0.6203, 0.6203, 0.1586)
Pm (0.8473, 0.8473, 0.4623)
Pr (0.0764, 0.0764, 0.7668)
Pr (0.2327, 0.2327, 0.3089)
Pr (0.3058, 0.3058, 0.0798)
Pr (0.4605, 0.4605, 0.6147)
Pr (0.5395, 0.5395, 0.3853)
Pr (0.6942, 0.6942, 0.9202)
Pr (0.7673, 0.7673, 0.6911)
Pr (0.9236, 0.9236, 0.2332)

# 2
Density functional theory data (PBE) for crystalline Ca2Pm3Pr6 at its relaxed geometry.

Properties
DOS at the Fermi energy (states/eV per atom): 1.345
Volume (Å³/f.u.): 402.6
E_form (eV/atom): 0.021
Crystal system: trigonal
Magnetic moment (μB per formula unit): 0.00

Cell: 33.7704 33.7704 33.7704 Å, 6.30 6.30 6.30°
Positions (direct):
Ca (0.0465, 0.0465, 0.0465)
Ca (0.9535, 0.9535, 0.9535)
Pm (0.2260, 0.2260, 0.2260)
Pm (0.5000, 0.5000, 0.5000)
Pm (0.7740, 0.7740, 0.7740)
Pr (0.1371, 0.1371, 0.1371)
Pr (0.3189, 0.3189, 0.3189)
Pr (0.4117, 0.4117, 0.4117)
Pr (0.5883, 0.5883, 0.5883)
Pr (0.6811, 0.6811, 0.6811)
Pr (0.8629, 0.8629, 0.8629)

# 3
Density functional theory data (PBE) for crystalline Ca2Pm6Pr3 at its relaxed geometry.

Properties
DOS at the Fermi energy (states/eV per atom): 1.369
Volume (Å³/f.u.): 397.1
E_form (eV/atom): 0.029
Crystal system: trigonal
Magnetic moment (μB per formula unit): 0.00

Cell: 33.6066 33.6066 33.6066 Å, 6.31 6.31 6.31°
Positions (direct):
Ca (0.0461, 0.0461, 0.0461)
Ca (0.9539, 0.9539, 0.9539)
Pm (0.1370, 0.1370, 0.1370)
Pm (0.3192, 0.3192, 0.3192)
Pm (0.4112, 0.4112, 0.4112)
Pm (0.5888, 0.5888, 0.5888)
Pm (0.6808, 0.6808, 0.6808)
Pm (0.8630, 0.8630, 0.8630)
Pr (0.2264, 0.2264, 0.2264)
Pr (0.5000, 0.5000, 0.5000)
Pr (0.7736, 0.7736, 0.7736)

# 4
Density functional theory data (PBE) for crystalline CaPmPr6 at its relaxed geometry.

Properties
DOS at the Fermi energy (states/eV per atom): 1.584
Volume (Å³/f.u.): 291.1
E_form (eV/atom): 0.034
Crystal system: tetragonal
Magnetic moment (μB per formula unit): 0.00

Cell: 5.2647 5.2647 10.5040 Å, 90.00 90.00 90.00°
Positions (direct):
Ca (0.0000, 0.0000, 0.0000)
Pm (0.0000, 0.0000, 0.5000)
Pr (0.0000, 0.5000, 0.2558)
Pr (0.0000, 0.5000, 0.7442)
Pr (0.5000, 0.0000, 0.2558)
Pr (0.5000, 0.0000, 0.7442)
Pr (0.5000, 0.5000, 0.0000)
Pr (0.5000, 0.5000, 0.5000)

# 5
Density functional theory data (PBE) for crystalline CaPmPr2 at its relaxed geometry.

Properties
DOS at the Fermi energy (states/eV per atom): 1.381
Volume (Å³/f.u.): 147.4
Energy relative to the lowest polymorph listed for this composition (meV/atom): 6
E_form (eV/atom): 0.034
Crystal system: tetragonal
Magnetic moment (μB per formula unit): 0.00

Cell: 3.7119 3.7119 10.6957 Å, 90.00 90.00 90.00°
Positions (direct):
Ca (0.0000, 0.0000, 0.0000)
Pm (0.0000, 0.0000, 0.5000)
Pr (0.5000, 0.5000, 0.2644)
Pr (0.5000, 0.5000, 0.7356)

# 6
Density functional theory data (PBE) for crystalline Ca2Pm3Pr8 at its relaxed geometry.

Properties
DOS at the Fermi energy (states/eV per atom): 1.692
Volume (Å³/f.u.): 476.8
E_form (eV/atom): 0.179
Crystal system: monoclinic
Magnetic moment (μB per formula unit): 0.00

Cell: 9.0992 9.0992 6.4624 Å, 109.20 109.20 81.70°
Positions (direct):
Ca (0.2194, 0.2194, 0.3668)
Ca (0.7806, 0.7806, 0.6332)
Pm (0.2651, 0.7349, 0.0000)
Pm (0.5000, 0.5000, 0.5000)
Pm (0.7349, 0.2651, 0.0000)
Pr (0.0512, 0.0512, 0.7918)
Pr (0.0753, 0.5972, 0.3300)
Pr (0.3462, 0.3462, 0.9607)
Pr (0.4028, 0.9247, 0.6700)
Pr (0.5972, 0.0753, 0.3300)
Pr (0.6538, 0.6538, 0.0393)
Pr (0.9247, 0.4028, 0.6700)
Pr (0.9488, 0.9488, 0.2082)

# 7
Density functional theory data (PBE) for crystalline CaPm6Pr4 at its relaxed geometry.

Properties
DOS at the Fermi energy (states/eV per atom): 1.382
Volume (Å³/f.u.): 421.2
Energy relative to the lowest polymorph listed for this composition (meV/atom): 0
E_form (eV/atom): 0.342
Crystal system: tetragonal
Magnetic moment (μB per formula unit): 0.00

Cell: 8.7354 8.7354 8.7354 Å, 126.01 126.01 79.86°
Positions (direct):
Ca (0.0000, 0.0000, 0.0000)
Pm (0.0000, 0.5000, 0.5000)
Pm (0.2584, 0.2584, 0.6689)
Pm (0.4105, 0.7416, 0.0000)
Pm (0.5000, 0.0000, 0.5000)
Pm (0.5895, 0.5895, 0.3311)
Pm (0.7416, 0.4105, 0.0000)
Pr (0.0557, 0.5622, 0.0000)
Pr (0.4378, 0.4378, 0.4935)
Pr (0.5622, 0.0557, 0.0000)
Pr (0.9443, 0.9443, 0.5065)

# 8
Density functional theory data (PBE) for crystalline CaPmPr at its relaxed geometry.

Properties
DOS at the Fermi energy (states/eV per atom): 1.166
Volume (Å³/f.u.): 111.4
Energy relative to the lowest polymorph listed for this composition (meV/atom): 0
E_form (eV/atom): 0.027
Crystal system: tetragonal
Magnetic moment (μB per formula unit): 0.00

Cell: 3.7482 3.7482 15.8636 Å, 90.00 90.00 90.00°
Positions (direct):
Ca (0.0000, 0.0000, 0.0000)
Ca (0.5000, 0.5000, 0.5000)
Pm (0.0000, 0.0000, 0.3267)
Pm (0.5000, 0.5000, 0.8267)
Pr (0.0000, 0.0000, 0.6758)
Pr (0.5000, 0.5000, 0.1758)

Q: The highest E_form belongs to which entry?
A: CaPm6Pr4